[1]
## SbPt2 (PBE)

Data for an optimized crystal structure of SbPt2.

Lattice parameters (Å, degrees): 3.918 3.918 4.418 90.00 90.00 120.00
Positions (direct):
1 Sb 0.000 0.000 0.000
2 Pt 0.333 0.667 0.330
3 Pt 0.667 0.333 0.670

Density of states at the Fermi level (states/eV/cell): 0.9
Formation energy from raw total energies (meV per atom): -228.2
Total energy (eV per atom): -5.630

---

[2]
## SbPt2 (PBE)

Data for an optimized crystal structure of SbPt2.

Lattice parameters (Å, degrees): 7.501 7.501 3.362 90.00 90.00 120.00
Positions (direct):
1 Sb 0.000 0.000 0.000
2 Sb 0.333 0.667 0.500
3 Sb 0.667 0.333 0.500
4 Pt 0.000 0.299 0.500
5 Pt 0.000 0.634 0.000
6 Pt 0.299 0.000 0.500
7 Pt 0.366 0.366 0.000
8 Pt 0.634 0.000 0.000
9 Pt 0.701 0.701 0.500

Density of states at the Fermi level (states/eV/cell): 5.9
Formation energy from raw total energies (meV per atom): -153.7
Total energy (eV per atom): -5.555

---

[3]
## SbPt (PBE)

Data for an optimized crystal structure of SbPt.

Lattice parameters (Å, degrees): 9.585 9.585 4.502 90.00 90.00 120.00
Positions (direct):
1 Sb 0.081 0.360 0.250
2 Sb 0.280 0.919 0.250
3 Sb 0.360 0.280 0.750
4 Sb 0.640 0.720 0.250
5 Sb 0.720 0.081 0.750
6 Sb 0.919 0.640 0.750
7 Pt 0.049 0.618 0.250
8 Pt 0.382 0.431 0.250
9 Pt 0.431 0.049 0.750
10 Pt 0.569 0.951 0.250
11 Pt 0.618 0.569 0.750
12 Pt 0.951 0.382 0.750

Density of states at the Fermi level (states/eV/cell): 5.4
Formation energy from raw total energies (meV per atom): -178.1
Total energy (eV per atom): -5.260

---

[4]
## SbPt3 (PBE)

Data for an optimized crystal structure of SbPt3.

Lattice parameters (Å, degrees): 8.945 8.945 3.024 90.00 90.00 120.00
Positions (direct):
1 Sb 0.000 0.000 0.000
2 Sb 0.333 0.667 0.667
3 Sb 0.667 0.333 0.333
4 Pt 0.000 0.500 0.000
5 Pt 0.167 0.333 0.333
6 Pt 0.167 0.833 0.333
7 Pt 0.333 0.167 0.667
8 Pt 0.500 0.000 0.000
9 Pt 0.500 0.500 0.000
10 Pt 0.667 0.833 0.333
11 Pt 0.833 0.167 0.667
12 Pt 0.833 0.667 0.667

Density of states at the Fermi level (states/eV/cell): 9.0
Formation energy from raw total energies (meV per atom): -42.0
Total energy (eV per atom): -5.603

---

[5]
## SbPt3 (PBE)

Data for an optimized crystal structure of SbPt3.

Lattice parameters (Å, degrees): 5.665 5.665 4.959 90.00 90.00 120.00
Positions (direct):
1 Sb 0.333 0.667 0.250
2 Sb 0.667 0.333 0.750
3 Pt 0.166 0.332 0.750
4 Pt 0.166 0.834 0.750
5 Pt 0.332 0.166 0.250
6 Pt 0.668 0.834 0.750
7 Pt 0.834 0.166 0.250
8 Pt 0.834 0.668 0.250

Density of states at the Fermi level (states/eV/cell): 9.5
Formation energy from raw total energies (meV per atom): -125.8
Total energy (eV per atom): -5.687

---

[6]
## SbPt (PBE)

Data for an optimized crystal structure of SbPt.

Lattice parameters (Å, degrees): 10.731 10.731 4.203 90.00 90.00 90.00
Positions (direct):
1 Sb 0.072 0.712 0.000
2 Sb 0.212 0.428 0.500
3 Sb 0.288 0.072 0.000
4 Sb 0.428 0.788 0.500
5 Sb 0.572 0.212 0.500
6 Sb 0.712 0.928 0.000
7 Sb 0.788 0.572 0.500
8 Sb 0.928 0.288 0.000
9 Pt 0.166 0.292 0.000
10 Pt 0.208 0.666 0.500
11 Pt 0.292 0.834 0.000
12 Pt 0.334 0.208 0.500
13 Pt 0.666 0.792 0.500
14 Pt 0.708 0.166 0.000
15 Pt 0.792 0.334 0.500
16 Pt 0.834 0.708 0.000

Density of states at the Fermi level (states/eV/cell): 7.8
Formation energy from raw total energies (meV per atom): -169.5
Total energy (eV per atom): -5.251

---

[7]
## SbPt3 (PBE)

Data for an optimized crystal structure of SbPt3.

Lattice parameters (Å, degrees): 3.626 9.119 4.340 90.00 90.00 90.00
Positions (direct):
1 Sb 0.000 0.000 0.000
2 Sb 0.500 0.500 0.500
3 Pt 0.000 0.228 0.361
4 Pt 0.000 0.500 0.072
5 Pt 0.000 0.772 0.361
6 Pt 0.500 0.000 0.572
7 Pt 0.500 0.272 0.861
8 Pt 0.500 0.728 0.861

Density of states at the Fermi level (states/eV/cell): 6.0
Formation energy from raw total energies (meV per atom): -159.6
Total energy (eV per atom): -5.721

---

[8]
## SbPt2 (PBE)

Data for an optimized crystal structure of SbPt2.

Lattice parameters (Å, degrees): 4.590 3.629 6.615 90.00 97.57 90.00
Positions (direct):
1 Sb 0.197 0.000 0.317
2 Sb 0.803 0.000 0.683
3 Pt 0.000 0.500 0.000
4 Pt 0.302 0.500 0.659
5 Pt 0.500 0.000 0.000
6 Pt 0.698 0.500 0.341

Density of states at the Fermi level (states/eV/cell): 3.6
Formation energy from raw total energies (meV per atom): -148.6
Total energy (eV per atom): -5.550

---

- Number 7 is which compound?
  SbPt3

---

- Number 6 is which compound?
  SbPt